1.
First-principles (PBE-GGA) data for an optimized crystal structure of CuPbBr, as listed in Alexandria via LeMat-Bulk.

Final energy   -3.18 eV/atom
E above lowest polymorph   0.065 eV/atom
Theoretical density   7.9 g cm⁻³
Formation energy from raw total energies   -0.02 eV per atom

Geometry as POSCAR:
```
CuPbBr
1.0
12.5576 0.0000 0.0000
0.0000 1.8573 3.1701
0.0000 -1.8573 3.1701
Cu Pb Br
2 2 2
direct
0.0000 0.0000 0.0000
0.5000 0.2208 0.2208
0.1545 0.3368 0.3368
0.8455 0.3368 0.3368
0.3689 0.8917 0.8917
0.6311 0.8917 0.8917
```

=====

2.
First-principles (PBE-GGA) data for an optimized crystal structure of BaIrS3, as listed in Alexandria via LeMat-Bulk.

Final energy   -3.04 eV/atom
E above lowest polymorph   2.218 eV/atom
Theoretical density   3.6 g cm⁻³
Formation energy from raw total energies   1.59 eV per atom

Geometry as POSCAR:
```
BaIrS3
1.0
5.7920 0.0000 0.0000
0.0000 5.7920 0.0000
0.0000 0.0000 5.7920
Ba Ir S
1 1 3
direct
0.0000 0.0000 0.0000
0.5000 0.5000 0.5000
0.0000 0.0000 0.5000
0.0000 0.5000 0.0000
0.5000 0.0000 0.0000
```

=====

3.
First-principles (PBE-GGA) data for an optimized crystal structure of AgSn2Os, as listed in Alexandria via LeMat-Bulk.

Final energy   -5.08 eV/atom
Calculated formation energy   0.446 eV/atom
E above lowest polymorph   0.000 eV/atom
Theoretical density   11.6 g cm⁻³

Geometry as POSCAR:
```
AgSn2Os
1.0
0.0000 3.3725 3.3725
3.3725 0.0000 3.3725
3.3725 3.3725 0.0000
Ag Sn Os
1 2 1
direct
0.0000 0.0000 0.0000
0.2500 0.2500 0.2500
0.7500 0.7500 0.7500
0.5000 0.5000 0.5000
```

=====

4.
First-principles (PBE-GGA) data for an optimized crystal structure of Sr3LiPd, as listed in Alexandria via LeMat-Bulk.

Final energy   -2.29 eV/atom
Calculated formation energy   0.145 eV/atom
E above lowest polymorph   0.421 eV/atom
Theoretical density   1.9 g cm⁻³

Geometry as POSCAR:
```
Sr3LiPd
1.0
4.1844 0.0000 0.0000
0.0000 4.2161 9.3031
0.0000 -4.2161 9.3031
Sr Li Pd
3 1 1
direct
0.0000 0.0000 0.0000
0.5000 0.0664 0.5752
0.5000 0.5752 0.0664
0.5000 0.1622 0.1622
0.0000 0.8446 0.8446
```

=====

5.
First-principles (PBE-GGA) data for an optimized crystal structure of BaMn2, as listed in Alexandria via LeMat-Bulk.

Final energy   -5.70 eV/atom
Calculated formation energy   1.057 eV/atom
Theoretical density   4.5 g cm⁻³

Geometry as POSCAR:
```
BaMn2
1.0
7.4947 0.0000 0.0000
-3.7473 6.4906 0.0000
0.0000 0.0000 5.5870
Ba Mn
3 6
direct
0.0000 0.0000 0.0000
0.3333 0.6667 0.5000
0.6667 0.3333 0.5000
0.0000 0.2034 0.5000
0.0000 0.4704 0.0000
0.2034 0.0000 0.5000
0.4704 0.0000 0.0000
0.5296 0.5296 0.0000
0.7966 0.7966 0.5000
```

=====

6.
First-principles (PBE-GGA) data for an optimized crystal structure of AsAuSe2, as listed in Alexandria via LeMat-Bulk.

Final energy   -3.52 eV/atom
Theoretical density   8.0 g cm⁻³
Formation energy from raw total energies   0.20 eV per atom

Geometry as POSCAR:
```
AsAuSe2
1.0
5.7277 -1.3875 0.0000
5.7277 1.3875 0.0000
-1.8300 0.0000 5.5866
As Au Se
1 1 2
direct
0.0000 0.0000 0.0000
0.5883 0.5883 0.4075
0.1865 0.1865 0.8633
0.3466 0.3466 0.4395
```

=====

7.
First-principles (PBE-GGA) data for an optimized crystal structure of Rb2GaSiF6, as listed in Alexandria via LeMat-Bulk.

Final energy   -4.72 eV/atom
Theoretical density   3.2 g cm⁻³
Formation energy from raw total energies   -2.56 eV per atom

Geometry as POSCAR:
```
Rb2GaSiF6
1.0
-3.0631 3.0631 5.2694
3.0631 -3.0631 5.2694
3.0631 3.0631 -5.2694
Rb Ga Si F
2 1 1 6
direct
0.2500 0.7500 0.5000
0.7500 0.2500 0.5000
0.0000 0.0000 0.0000
0.5000 0.5000 0.0000
0.3011 0.3011 0.6021
0.3011 0.6989 0.0000
0.3370 0.3370 0.0000
0.6630 0.6630 0.0000
0.6989 0.3011 0.0000
0.6989 0.6989 0.3979
```

=====

8.
First-principles (PBE-GGA) data for an optimized crystal structure of NdCdPt, as listed in Alexandria via LeMat-Bulk.

Final energy   -4.56 eV/atom
Calculated formation energy   -0.650 eV/atom
Theoretical density   10.8 g cm⁻³

Geometry as POSCAR:
```
NdCdPt
1.0
-1.8839 1.8839 4.8891
1.8839 -1.8839 4.8891
1.8839 1.8839 -4.8891
Nd Cd Pt
1 1 1
direct
0.0000 0.0000 0.0000
0.3088 0.3088 0.0000
0.6509 0.6509 0.0000
```

=====

9.
First-principles (PBE-GGA) data for an optimized crystal structure of DySbRh2, as listed in Alexandria via LeMat-Bulk.

Final energy   -6.38 eV/atom
Theoretical density   9.8 g cm⁻³
Formation energy from raw total energies   -0.52 eV per atom

Geometry as POSCAR:
```
DySbRh2
1.0
3.4036 0.0000 0.0000
0.0000 4.0516 0.0000
0.0000 0.0000 6.0250
Dy Sb Rh
1 1 2
direct
0.0000 0.0000 0.0000
0.5000 0.0000 0.5000
0.5000 0.5000 0.2329
0.5000 0.5000 0.7671
```

=====

10.
First-principles (PBE-GGA) data for an optimized crystal structure of Tb3SmCl, as listed in Alexandria via LeMat-Bulk.

Final energy   -4.56 eV/atom
Theoretical density   7.3 g cm⁻³
Formation energy from raw total energies   -0.47 eV per atom

Geometry as POSCAR:
```
Tb3SmCl
1.0
5.3228 0.0000 0.0000
0.0000 5.3228 0.0000
0.0000 0.0000 5.3228
Tb Sm Cl
3 1 1
direct
0.0000 0.0000 0.5000
0.0000 0.5000 0.0000
0.5000 0.0000 0.0000
0.5000 0.5000 0.5000
0.0000 0.0000 0.0000
```

=====

11.
First-principles (PBE-GGA) data for an optimized crystal structure of Pr2PtPb, as listed in Alexandria via LeMat-Bulk.

Final energy   -5.52 eV/atom
Calculated formation energy   -0.693 eV/atom
Theoretical density   9.3 g cm⁻³

Geometry as POSCAR:
```
Pr2PtPb
1.0
4.5887 0.0000 0.0000
-2.2944 3.9739 0.0000
0.0000 0.0000 6.7252
Pr Pt Pb
2 1 1
direct
0.3333 0.6667 0.2173
0.6667 0.3333 0.7827
0.0000 0.0000 0.0000
0.0000 0.0000 0.5000
```

=====

12.
First-principles (PBE-GGA) data for an optimized crystal structure of LiMnSe2, as listed in Alexandria via LeMat-Bulk.

Final energy   -5.05 eV/atom
Theoretical density   3.6 g cm⁻³
Formation energy from raw total energies   -0.54 eV per atom

Geometry as POSCAR:
```
LiMnSe2
1.0
1.7735 -4.0188 0.0000
1.7735 4.0188 0.0000
0.0000 0.0000 7.1927
Li Mn Se
1 1 2
direct
0.0000 0.0000 0.0000
0.0000 0.0000 0.5000
0.5000 0.5000 0.2677
0.5000 0.5000 0.7323
```

=====

13.
First-principles (PBE-GGA) data for an optimized crystal structure of RbZrCd2Sb, as listed in Alexandria via LeMat-Bulk.

Final energy   -3.05 eV/atom
Theoretical density   4.6 g cm⁻³
Formation energy from raw total energies   0.04 eV per atom

Geometry as POSCAR:
```
RbZrCd2Sb
1.0
5.8165 0.0000 0.0000
0.0000 5.8165 0.0000
0.0000 0.0000 5.5637
Rb Zr Cd Sb
1 1 2 1
direct
0.0000 0.0000 0.0000
0.5000 0.5000 0.5000
0.0000 0.5000 0.5000
0.5000 0.0000 0.5000
0.5000 0.5000 0.0000
```

=====

14.
First-principles (PBE-GGA) data for an optimized crystal structure of Al2SnPt9, as listed in Alexandria via LeMat-Bulk.

Final energy   -6.09 eV/atom
Calculated formation energy   -0.602 eV/atom
Theoretical density   17.1 g cm⁻³

Geometry as POSCAR:
```
Al2SnPt9
1.0
3.9688 0.0000 0.0000
0.0000 3.9688 0.0000
0.0000 0.0000 11.8987
Al Sn Pt
2 1 9
direct
0.0000 0.0000 0.1618
0.0000 0.0000 0.8382
0.0000 0.0000 0.5000
0.0000 0.5000 0.0000
0.0000 0.5000 0.3224
0.0000 0.5000 0.6776
0.5000 0.0000 0.0000
0.5000 0.0000 0.3224
0.5000 0.0000 0.6776
0.5000 0.5000 0.1618
0.5000 0.5000 0.5000
0.5000 0.5000 0.8382
```

=====

15.
First-principles (PBE-GGA) data for an optimized crystal structure of SrMgTe, as listed in Alexandria via LeMat-Bulk.

Final energy   -2.67 eV/atom
E above lowest polymorph   0.270 eV/atom
Theoretical density   3.4 g cm⁻³
Formation energy from raw total energies   -0.53 eV per atom

Geometry as POSCAR:
```
SrMgTe
1.0
0.0000 3.8976 3.8976
3.8976 0.0000 3.8976
3.8976 3.8976 0.0000
Sr Mg Te
1 1 1
direct
0.0000 0.0000 0.0000
0.2500 0.2500 0.2500
0.7500 0.7500 0.7500
```

=====

16.
First-principles (PBE-GGA) data for an optimized crystal structure of ScAgOs2, as listed in Alexandria via LeMat-Bulk.

Final energy   -7.56 eV/atom
Calculated formation energy   0.349 eV/atom
E above lowest polymorph   0.275 eV/atom
Theoretical density   13.1 g cm⁻³

Geometry as POSCAR:
```
ScAgOs2
1.0
2.8809 0.0000 0.0000
0.0000 4.2395 0.0000
0.0000 0.0000 5.5274
Sc Ag Os
1 1 2
direct
0.0000 0.0000 0.0000
0.0000 0.0000 0.5000
0.5000 0.5000 0.2172
0.5000 0.5000 0.7828
```

=====

17.
First-principles (PBE-GGA) data for an optimized crystal structure of RbNa8Sn4, as listed in Alexandria via LeMat-Bulk.

Final energy   -2.24 eV/atom
Calculated formation energy   -0.127 eV/atom
Theoretical density   3.0 g cm⁻³

Geometry as POSCAR:
```
RbNa8Sn4
1.0
-5.5747 5.5747 3.3522
5.5747 -5.5747 3.3522
5.5747 5.5747 -3.3522
Rb Na Sn
1 8 4
direct
0.0000 0.0000 0.0000
0.0000 0.3301 0.3301
0.0000 0.6699 0.6699
0.2700 0.5000 0.7700
0.3301 0.0000 0.3301
0.5000 0.2700 0.7700
0.5000 0.7300 0.2300
0.6699 0.0000 0.6699
0.7300 0.5000 0.2300
0.0000 0.0000 0.5000
0.0000 0.5000 0.0000
0.5000 0.0000 0.0000
0.5000 0.5000 0.5000
```

=====

18.
First-principles (PBE-GGA) data for an optimized crystal structure of TbMn2Tl3Se6, as listed in Alexandria via LeMat-Bulk.

Final energy   -4.96 eV/atom
Theoretical density   7.3 g cm⁻³
Formation energy from raw total energies   -0.71 eV per atom

Geometry as POSCAR:
```
TbMn2Tl3Se6
1.0
3.4289 -5.8900 0.0000
3.4289 5.8900 0.0000
-2.2530 0.0000 7.6846
Tb Mn Tl Se
1 2 3 6
direct
0.0000 0.0000 0.0000
0.3327 0.6673 0.0000
0.6673 0.3327 0.0000
0.1569 0.8431 0.5000
0.5000 0.5000 0.5000
0.8431 0.1569 0.5000
0.0625 0.4260 0.1940
0.3022 0.3022 0.8143
0.4260 0.0625 0.1940
0.5740 0.9375 0.8060
0.6978 0.6978 0.1857
0.9375 0.5740 0.8060
```

=====

19.
First-principles (PBE-GGA) data for an optimized crystal structure of LaMgSb2Te, as listed in Alexandria via LeMat-Bulk.

Final energy   -3.30 eV/atom
E above lowest polymorph   0.527 eV/atom
Theoretical density   4.0 g cm⁻³
Formation energy from raw total energies   0.29 eV per atom

Geometry as POSCAR:
```
LaMgSb2Te
1.0
6.0716 0.0000 0.0000
0.0000 6.0716 0.0000
0.0000 0.0000 6.0546
La Mg Sb Te
1 1 2 1
direct
0.0000 0.0000 0.0000
0.5000 0.5000 0.5000
0.0000 0.5000 0.0000
0.5000 0.0000 0.0000
0.0000 0.0000 0.5000
```

=====

20.
First-principles (PBE-GGA) data for an optimized crystal structure of KLiBrCl2, as listed in Alexandria via LeMat-Bulk.

Final energy   -2.94 eV/atom
Theoretical density   2.5 g cm⁻³
Formation energy from raw total energies   -1.26 eV per atom

Geometry as POSCAR:
```
KLiBrCl2
1.0
5.0198 0.0000 0.0000
0.0000 5.0198 0.0000
0.0000 0.0000 5.2168
K Li Br Cl
1 1 1 2
direct
0.0000 0.0000 0.0000
0.5000 0.5000 0.5000
0.5000 0.5000 0.0000
0.0000 0.5000 0.5000
0.5000 0.0000 0.5000
```